[1]
# Ag3RuI

A geometry-optimized Ag3RuI structure (GGA-PBEsol, Alexandria via LeMat-Bulk).

Calculated values
electronic total energy: -2.535 eV/atom
crystal system: cubic
theoretical density: 6.8 g cm⁻³
space group: Pm-3m
ΔE_f (raw): 177.5 kJ per mole of atoms
density of states at the Fermi level: 7.57 states/eV per cell

Unit cell a=5.1287 b=5.1287 c=5.1287 alpha=90.00 beta=90.00 gamma=90.00
Last column: nearest neighbours and their distance in Å.
Element x y z (fractional)
Ag: 0.0000 0.0000 0.5000  2 I 2.56
Ag: 0.0000 0.5000 0.0000  2 I 2.56
Ag: 0.5000 0.0000 0.0000  2 I 2.56
Ru: 0.5000 0.5000 0.5000  12 Ag 3.63
I: 0.0000 0.0000 0.0000  6 Ag 2.56

***

[2]
# NaRuO2

A geometry-optimized NaRuO2 structure (GGA-PBEsol, Alexandria via LeMat-Bulk).

Calculated values
electronic total energy: -6.610 eV/atom
crystal system: trigonal
theoretical density: 6.1 g cm⁻³
space group: R-3m
ΔE_f (raw): -105.4 kJ per mole of atoms
density of states at the Fermi level: 2.08 states/eV per cell

Unit cell a=5.6698 b=5.6698 c=5.6698 alpha=30.76 beta=30.76 gamma=30.76
Last column: nearest neighbours and their distance in Å.
Element x y z (fractional)
Na: 0.0000 0.0000 0.0000  6 O 2.33
Ru: 0.5000 0.5000 0.5000  6 O 2.08
O: 0.2373 0.2373 0.2373  3 Ru 2.08
O: 0.7627 0.7627 0.7627  3 Ru 2.08

***

[3]
# TeMoI2

A geometry-optimized TeMoI2 structure (GGA-PBEsol, Alexandria via LeMat-Bulk).

Calculated values
electronic total energy: -3.722 eV/atom
crystal system: cubic
theoretical density: 8.0 g cm⁻³
space group: Fm-3m
ΔE_f (raw): 95.1 kJ per mole of atoms
density of states at the Fermi level: 3.88 states/eV per cell

Unit cell a=5.1977 b=5.1977 c=5.1977 alpha=60.00 beta=60.00 gamma=60.00
Last column: nearest neighbours and their distance in Å.
Element x y z (fractional)
Te: 0.0000 0.0000 0.0000  8 I 3.18
Mo: 0.5000 0.5000 0.5000  8 I 3.18
I: 0.2500 0.2500 0.2500  4 Mo 3.18, 4 Te 3.18
I: 0.7500 0.7500 0.7500  4 Mo 3.18, 4 Te 3.18

***

[4]
# Y3CdO

A geometry-optimized Y3CdO structure (GGA-PBEsol, Alexandria via LeMat-Bulk).

Calculated values
electronic total energy: -6.801 eV/atom
crystal system: cubic
theoretical density: 6.2 g cm⁻³
space group: Pm-3m
ΔE_f (raw): -136.9 kJ per mole of atoms
density of states at the Fermi level: 2.12 states/eV per cell

Unit cell a=4.7247 b=4.7247 c=4.7247 alpha=90.00 beta=90.00 gamma=90.00
Last column: nearest neighbours and their distance in Å.
Element x y z (fractional)
Y: 0.0000 0.0000 0.5000  2 O 2.36
Y: 0.0000 0.5000 0.0000  2 O 2.36
Y: 0.5000 0.0000 0.0000  2 O 2.36
Cd: 0.5000 0.5000 0.5000  12 Y 3.34
O: 0.0000 0.0000 0.0000  6 Y 2.36

***

[5]
# BaTe2MoN

A geometry-optimized BaTe2MoN structure (GGA-PBEsol, Alexandria via LeMat-Bulk).

Calculated values
electronic total energy: -6.400 eV/atom
crystal system: tetragonal
theoretical density: 6.8 g cm⁻³
space group: P4/mmm
ΔE_f (raw): -48.3 kJ per mole of atoms
density of states at the Fermi level: 2.04 states/eV per cell

Unit cell a=5.6253 b=5.6253 c=3.8742 alpha=90.00 beta=90.00 gamma=90.00
Last column: nearest neighbours and their distance in Å.
Element x y z (fractional)
Ba: 0.0000 0.0000 0.0000  8 Te 3.42
Te: 0.0000 0.5000 0.5000  2 Mo 2.81
Te: 0.5000 0.0000 0.5000  2 Mo 2.81
Mo: 0.5000 0.5000 0.5000  2 N 1.94
N: 0.5000 0.5000 0.0000  2 Mo 1.94

***

[6]
# ScMn2Te

A geometry-optimized ScMn2Te structure (GGA-PBEsol, Alexandria via LeMat-Bulk).

Calculated values
electronic total energy: -7.434 eV/atom
crystal system: tetragonal
theoretical density: 7.1 g cm⁻³
space group: P4/mmm
ΔE_f (raw): -2.0 kJ per mole of atoms
density of states at the Fermi level: 3.78 states/eV per cell

Unit cell a=4.0842 b=4.0842 c=3.9345 alpha=90.00 beta=90.00 gamma=90.00
Last column: nearest neighbours and their distance in Å.
Element x y z (fractional)
Sc: 0.0000 0.0000 0.0000  8 Mn 2.84, 4 Te 2.89
Mn: 0.0000 0.5000 0.5000  4 Te 2.84, 4 Sc 2.84, 4 Mn 2.89
Mn: 0.5000 0.0000 0.5000  4 Te 2.84, 4 Sc 2.84, 4 Mn 2.89
Te: 0.5000 0.5000 0.0000  8 Mn 2.84, 4 Sc 2.89

***

[7]
# Pb7Au

A geometry-optimized Pb7Au structure (GGA-PBEsol, Alexandria via LeMat-Bulk).

Calculated values
electronic total energy: -3.941 eV/atom
crystal system: cubic
theoretical density: 12.3 g cm⁻³
formation enthalpy at 0 K: 0.049 eV per atom
space group: Fm-3m
density of states at the Fermi level: 4.11 states/eV per cell

Unit cell a=6.8009 b=6.8009 c=6.8009 alpha=60.00 beta=60.00 gamma=60.00
Last column: nearest neighbours and their distance in Å.
Element x y z (fractional)
Pb: 0.0000 0.0000 0.0000  12 Pb 3.40
Pb: 0.0000 0.0000 0.5000  10 Pb 3.40, 2 Au 3.40
Pb: 0.0000 0.5000 0.0000  10 Pb 3.40, 2 Au 3.40
Pb: 0.0000 0.5000 0.5000  10 Pb 3.40, 2 Au 3.40
Pb: 0.5000 0.0000 0.0000  10 Pb 3.40, 2 Au 3.40
Pb: 0.5000 0.0000 0.5000  10 Pb 3.40, 2 Au 3.40
Pb: 0.5000 0.5000 0.0000  10 Pb 3.40, 2 Au 3.40
Au: 0.5000 0.5000 0.5000  12 Pb 3.40

***

[8]
# Na2LiTa

A geometry-optimized Na2LiTa structure (GGA-PBEsol, Alexandria via LeMat-Bulk).

Calculated values
electronic total energy: -3.034 eV/atom
crystal system: cubic
theoretical density: 4.0 g cm⁻³
formation enthalpy at 0 K: 1.295 eV per atom
space group: F-43m
density of states at the Fermi level: 5.50 states/eV per cell

Unit cell a=5.1684 b=5.1684 c=5.1684 alpha=60.00 beta=60.00 gamma=60.00
Last column: nearest neighbours and their distance in Å.
Element x y z (fractional)
Na: 0.0000 0.0000 0.0000  4 Ta 3.17, 4 Na 3.17
Na: 0.2500 0.2500 0.2500  4 Li 3.17, 4 Na 3.17
Li: 0.5000 0.5000 0.5000  4 Ta 3.17, 4 Na 3.17
Ta: 0.7500 0.7500 0.7500  4 Na 3.17, 4 Li 3.17

***

[9]
# K2MgH4

A geometry-optimized K2MgH4 structure (GGA-PBEsol, Alexandria via LeMat-Bulk).

Calculated values
electronic total energy: -2.719 eV/atom
crystal system: tetragonal
theoretical density: 1.7 g cm⁻³
space group: I4/mmm
density of states at the Fermi level: 0.00 states/eV per cell

Unit cell a=7.2797 b=7.2797 c=7.2797 alpha=148.20 beta=148.20 gamma=45.59
Last column: nearest neighbours and their distance in Å.
Element x y z (fractional)
K: 0.1441 0.1441 0.0000  9 H 2.78-2.82
K: 0.8559 0.8559 0.0000  9 H 2.78-2.82
Mg: 0.5000 0.5000 0.0000  6 H 1.99-2.00
H: 0.0000 0.5000 0.5000  2 Mg 1.99
H: 0.3510 0.3510 0.0000  1 Mg 2.00
H: 0.5000 0.0000 0.5000  2 Mg 1.99
H: 0.6490 0.6490 0.0000  1 Mg 2.00

***

[10]
# BaNa2SiC

A geometry-optimized BaNa2SiC structure (GGA-PBEsol, Alexandria via LeMat-Bulk).

Calculated values
electronic total energy: -3.443 eV/atom
crystal system: tetragonal
theoretical density: 3.5 g cm⁻³
space group: P4/mmm
ΔE_f (raw): 60.3 kJ per mole of atoms
density of states at the Fermi level: 2.25 states/eV per cell

Unit cell a=5.0651 b=5.0651 c=4.1303 alpha=90.00 beta=90.00 gamma=90.00
Last column: nearest neighbours and their distance in Å.
Element x y z (fractional)
Ba: 0.0000 0.0000 0.0000  8 Na 3.27, 4 Si 3.58
Na: 0.0000 0.5000 0.5000  2 C 2.53
Na: 0.5000 0.0000 0.5000  2 C 2.53
Si: 0.5000 0.5000 0.0000  2 C 2.07
C: 0.5000 0.5000 0.5000  2 Si 2.07

***

[11]
# Re3Cl

A geometry-optimized Re3Cl structure (GGA-PBEsol, Alexandria via LeMat-Bulk).

Calculated values
electronic total energy: -9.757 eV/atom
crystal system: monoclinic
theoretical density: 16.5 g cm⁻³
energy above the most stable polymorph in this dataset: 0.362 eV per atom
space group: C2/m
ΔE_f (raw): 71.8 kJ per mole of atoms
density of states at the Fermi level: 2.78 states/eV per cell

Unit cell a=5.1249 b=5.1249 c=4.2526 alpha=90.92 beta=90.92 gamma=32.40
Last column: nearest neighbours and their distance in Å.
Element x y z (fractional)
Re: 0.0000 0.0000 0.0000  4 Cl 2.56, 6 Re 2.71-2.86
Re: 0.2863 0.2863 0.7699  1 Cl 2.41, 2 Re 2.54
Re: 0.7137 0.7137 0.2301  1 Cl 2.41, 2 Re 2.54
Cl: 0.5000 0.5000 0.5000  6 Re 2.41-2.56

***

[12]
# DySn3

A geometry-optimized DySn3 structure (GGA-PBEsol, Alexandria via LeMat-Bulk).

Calculated values
electronic total energy: -4.925 eV/atom
crystal system: cubic
theoretical density: 8.7 g cm⁻³
formation enthalpy at 0 K: -0.486 eV per atom
space group: Pm-3m
density of states at the Fermi level: 2.15 states/eV per cell

Unit cell a=4.6260 b=4.6260 c=4.6260 alpha=90.00 beta=90.00 gamma=90.00
Last column: nearest neighbours and their distance in Å.
Element x y z (fractional)
Dy: 0.0000 0.0000 0.0000  12 Sn 3.27
Sn: 0.0000 0.5000 0.5000  8 Sn 3.27, 4 Dy 3.27
Sn: 0.5000 0.0000 0.5000  8 Sn 3.27, 4 Dy 3.27
Sn: 0.5000 0.5000 0.0000  8 Sn 3.27, 4 Dy 3.27